## MgTiCd3 (PBE)

Data for an optimized crystal structure of MgTiCd3.

a = 5.0148 Å, b = 5.0148 Å, c = 5.0148 Å
α = 90.00°, β = 90.00°, γ = 90.00°
Element x y z (fractional)
Mg1 0.0000 0.0000 0.0000
Cd1 0.0000 0.5000 0.0000
Cd2 0.0000 0.0000 0.5000
Cd3 0.5000 0.0000 0.0000
Ti1 0.5000 0.5000 0.5000

Summary:
ΔE_f: 837 meV per atom
excess energy over the best structure of this formula in the dataset: 125 meV/atom
DOS(E_F): 5.08 states/eV/f.u.
crystal system: cubic
calculated total energy: -1.61 eV/atom
SG: Pm-3m (221)
M_tot: 0.0000 μB/atom